1.
ZrRh3: optimized geometry, PBE.

abc: 5.2898 5.2898 5.2898
angles: 147.96 125.67 64.49
With the nearest neighbours (Å) after each atom.
Sites, in units of the cell vectors:
Rh (0.1640, 0.5000, 0.6640)  8 Rh 2.76-2.92, 4 Zr 2.82
Rh (0.7559, 0.7531, 0.0028)  3 Zr 2.75-2.80, 9 Rh 2.76-2.92
Rh (0.2496, 0.2469, 0.0028)  3 Zr 2.75-2.80, 9 Rh 2.76-2.92
Zr (0.6638, 0.0000, 0.6638)  10 Rh 2.75-2.82, 2 Zr 2.92

Summary:
Its uncorrected energy is -8.1011 eV/atom. As for the magnetization: 0.00 μB/atom.



2.
AlZnCu2Au: optimized geometry, PBE.

abc: 3.5864 6.5003 6.8852
angles: 104.66 90.00 90.00
With the nearest neighbours (Å) after each atom.
Sites, in units of the cell vectors:
Cu (0.2500, 0.5048, 0.1361)  4 Cu 2.49-2.58, 2 Al 2.63, 1 Au 2.77
Cu (0.2500, 0.4755, 0.6098)  4 Cu 2.42-2.49, 1 Al 2.51, 3 Zn 2.59-2.61
Cu (0.7500, 0.5245, 0.3902)  4 Cu 2.42-2.49, 1 Al 2.51, 3 Zn 2.59-2.61
Cu (0.7500, 0.4952, 0.8639)  4 Cu 2.49-2.58, 2 Al 2.63, 1 Au 2.77
Zn (0.2500, 0.8245, 0.4922)  4 Cu 2.59-2.78, 3 Au 2.65-2.76, 1 Al 2.87, 2 Zn 2.88
Zn (0.7500, 0.1755, 0.5078)  4 Cu 2.59-2.78, 3 Au 2.65-2.76, 1 Al 2.87, 2 Zn 2.88
Au (0.2500, 0.1559, 0.8082)  3 Al 2.57-2.64, 3 Zn 2.65-2.76, 4 Cu 2.76-2.79
Au (0.7500, 0.8441, 0.1918)  3 Al 2.57-2.64, 3 Zn 2.65-2.76, 4 Cu 2.76-2.79
Al (0.2500, 0.7984, 0.9024)  4 Cu 2.51-2.79, 3 Au 2.57-2.64
Al (0.7500, 0.2016, 0.0976)  4 Cu 2.51-2.79, 3 Au 2.57-2.64

Summary:
Its uncorrected energy is -3.4360 eV/atom. As for the magnetization: 0.00 μB/atom.